# 1
This record from Alexandria via LeMat-Bulk describes a geometry-optimized KZrTc2F structure. The functional is PBE.

Structure (POSCAR):
```
KZrTc2F
1.0
5.012 0.000 0.000
0.000 4.212 0.000
0.000 0.000 5.012
Tc K Zr F
2 1 1 1
Direct
0.000 0.000 0.500
0.500 0.000 0.000
0.000 0.000 0.000
0.500 0.500 0.500
0.000 0.500 0.000
```

Results
Formation energy without anion corrections (eV/atom): 1.54

# 2
This record from Alexandria via LeMat-Bulk describes a geometry-optimized K3TeF structure. The functional is PBE.

Structure (POSCAR):
```
K3TeF
1.0
5.259 -0.001 -0.001
2.630 7.783 -0.001
2.630 3.851 8.726
F K Te
2 6 2
Direct
0.476 0.324 0.623
0.845 0.681 0.528
0.889 0.881 0.238
0.660 0.002 0.575
0.319 0.674 0.586
0.431 0.123 0.913
0.660 0.502 0.075
0.002 0.331 0.564
0.086 0.846 0.881
0.235 0.158 0.270
```

Results
Energy above the lowest structure with this stoichiometry (meV per atom): 61
Formation energy without anion corrections (eV/atom): -1.66

# 3
This record from Alexandria via LeMat-Bulk describes a geometry-optimized K2TeF2 structure. The functional is PBE.

Structure (POSCAR):
```
K2TeF2
1.0
4.782 0.000 0.000
0.000 4.782 0.000
2.391 2.391 6.354
Te K F
1 2 2
Direct
0.000 0.000 0.000
0.321 0.321 0.358
0.679 0.679 0.642
0.750 0.250 0.500
0.250 0.750 0.500
```

Results
Energy above the lowest structure with this stoichiometry (meV per atom): 17
Formation energy without anion corrections (eV/atom): -1.65

# 4
This record from Alexandria via LeMat-Bulk describes a geometry-optimized K3TeF structure. The functional is PBE.

Structure (POSCAR):
```
K3TeF
1.0
-13.830 -5.747 18.389
-5.722 -5.872 5.983
8.580 1.278 -5.269
Te K F
2 6 2
Direct
0.709 0.892 0.108
0.291 0.108 0.892
0.545 0.260 0.740
0.146 0.898 0.102
0.455 0.740 0.260
0.854 0.102 0.898
0.879 0.448 0.552
0.121 0.552 0.448
0.877 0.944 0.056
0.123 0.056 0.944
```

Results
Energy above the lowest structure with this stoichiometry (meV per atom): 125
Formation energy without anion corrections (eV/atom): -1.60

# 5
This record from Alexandria via LeMat-Bulk describes a geometry-optimized KTe2F8 structure. The functional is PBE.

Structure (POSCAR):
```
KTe2F8
1.0
-4.030 -0.985 5.745
-1.288 -5.703 4.062
4.271 1.232 3.632
K F Te
1 8 2
Direct
0.000 0.000 0.000
0.589 0.597 0.699
0.611 0.158 0.710
0.411 0.403 0.301
0.792 0.788 0.146
0.159 0.610 0.710
0.389 0.842 0.290
0.208 0.212 0.854
0.841 0.390 0.290
0.300 0.299 0.559
0.700 0.701 0.441
```

Results
Formation energy without anion corrections (eV/atom): -2.14

# 6
This record from Alexandria via LeMat-Bulk describes a geometry-optimized K3TeF8 structure. The functional is PBE.

Structure (POSCAR):
```
K3TeF8
1.0
-0.885 5.785 1.071
-5.456 -1.212 2.040
5.328 -2.952 3.821
F K Te
8 3 1
Direct
0.101 0.688 0.789
0.688 0.101 0.789
0.312 0.312 0.211
0.312 0.899 0.211
0.688 0.688 0.789
0.101 0.101 0.789
0.899 0.312 0.211
0.899 0.899 0.211
0.750 0.250 0.500
0.250 0.750 0.500
0.500 0.500 0.000
0.000 0.000 0.000
```

Results
Formation energy without anion corrections (eV/atom): -2.39

# 7
This record from Alexandria via LeMat-Bulk describes a geometry-optimized K3TeF structure. The functional is PBE.

Structure (POSCAR):
```
K3TeF
1.0
-4.913 0.433 5.649
3.527 -3.878 3.361
0.792 5.285 5.262
K F Te
6 2 2
Direct
0.143 0.152 0.860
0.647 0.152 0.356
0.977 0.652 0.694
0.481 0.652 0.191
0.978 0.652 0.190
0.647 0.152 0.860
0.812 0.902 0.025
0.812 0.402 0.025
0.146 0.152 0.359
0.479 0.652 0.692
```

Results
Energy above the lowest structure with this stoichiometry (meV per atom): 15
Formation energy without anion corrections (eV/atom): -1.71

# 8
This record from Alexandria via LeMat-Bulk describes a geometry-optimized K3TeF structure. The functional is PBE.

Structure (POSCAR):
```
K3TeF
1.0
-4.664 -0.759 -0.134
0.041 0.880 -6.434
1.055 -6.212 -1.568
K F Te
3 1 1
Direct
0.500 0.710 0.620
0.000 0.171 0.829
0.500 0.380 0.290
0.000 0.461 0.539
0.500 0.906 0.094
```

Results
Energy above the lowest structure with this stoichiometry (meV per atom): 272
Formation energy without anion corrections (eV/atom): -1.45

# 9
This record from Alexandria via LeMat-Bulk describes a geometry-optimized K2TeF8 structure. The functional is PBE.

Structure (POSCAR):
```
K2TeF8
1.0
-1.745 -1.834 4.353
2.879 -7.679 -2.082
3.532 5.400 2.162
F Te K
8 1 2
Direct
0.785 0.055 0.796
0.785 0.741 0.796
0.215 0.945 0.204
0.808 0.617 0.235
0.241 0.891 0.782
0.759 0.109 0.218
0.215 0.259 0.204
0.192 0.383 0.765
0.000 0.000 0.000
0.684 0.370 0.740
0.316 0.630 0.260
```

Results
Formation energy without anion corrections (eV/atom): -2.19

# 10
This record from Alexandria via LeMat-Bulk describes a geometry-optimized KTeF5 structure. The functional is PBE.

Structure (POSCAR):
```
KTeF5
1.0
-2.425 2.430 -3.509
5.747 -3.615 -6.475
-7.079 -8.935 -1.295
F K Te
20 4 4
Direct
0.969 0.313 0.626
0.380 0.990 0.373
0.620 0.490 0.127
0.969 0.187 0.374
0.969 0.313 0.874
0.620 0.490 0.373
0.380 0.990 0.127
0.031 0.813 0.874
0.031 0.687 0.374
0.620 0.010 0.873
0.031 0.813 0.626
0.612 0.712 0.250
0.388 0.288 0.750
0.969 0.187 0.126
0.620 0.010 0.627
0.380 0.510 0.627
0.388 0.212 0.250
0.612 0.788 0.750
0.031 0.687 0.126
0.380 0.510 0.873
0.507 0.250 0.000
0.507 0.250 0.500
0.493 0.750 0.500
0.493 0.750 0.000
0.876 0.561 0.250
0.876 0.939 0.750
0.124 0.061 0.250
0.124 0.439 0.750
```

Results
Energy above the lowest structure with this stoichiometry (meV per atom): 0
Formation energy without anion corrections (eV/atom): -2.44

# 11
This record from Alexandria via LeMat-Bulk describes a geometry-optimized K3TeF structure. The functional is PBE.

Structure (POSCAR):
```
K3TeF
1.0
4.890 -2.823 0.000
0.000 5.646 0.000
0.000 0.000 14.629
F K Te
2 6 2
Direct
0.667 0.333 0.250
0.333 0.667 0.750
0.667 0.333 0.080
0.000 0.000 0.750
0.667 0.333 0.420
0.333 0.667 0.920
0.000 0.000 0.250
0.333 0.667 0.580
0.000 0.000 0.000
0.000 0.000 0.500
```

Results
Energy above the lowest structure with this stoichiometry (meV per atom): 103
Formation energy without anion corrections (eV/atom): -1.62

# 12
This record from Alexandria via LeMat-Bulk describes a geometry-optimized K3TeF structure. The functional is PBE.

Structure (POSCAR):
```
K3TeF
1.0
-2.633 -5.622 -1.023
5.501 -2.189 -2.129
4.357 -7.279 9.442
K F Te
6 2 2
Direct
0.118 0.360 0.763
0.640 0.882 0.237
0.123 0.882 0.237
0.118 0.877 0.763
0.299 0.299 0.402
0.701 0.701 0.598
0.841 0.341 0.318
0.659 0.159 0.682
0.250 0.750 0.500
0.000 0.000 0.000
```

Results
Energy above the lowest structure with this stoichiometry (meV per atom): 604
Formation energy without anion corrections (eV/atom): -1.12

# 13
This record from Alexandria via LeMat-Bulk describes a geometry-optimized K3TeF structure. The functional is PBE.

Structure (POSCAR):
```
K3TeF
1.0
5.325 0.000 0.000
0.000 5.325 0.000
0.000 0.000 5.325
F K Te
1 3 1
Direct
0.000 0.000 0.000
0.000 0.500 0.000
0.500 0.000 0.000
0.000 0.000 0.500
0.500 0.500 0.500
```

Results
Energy above the lowest structure with this stoichiometry (meV per atom): 0
Formation energy without anion corrections (eV/atom): -1.72

# 14
This record from Alexandria via LeMat-Bulk describes a geometry-optimized K3TeF structure. The functional is PBE.

Structure (POSCAR):
```
K3TeF
1.0
6.205 0.000 0.000
0.000 6.205 0.000
0.000 0.000 6.827
K Te F
3 1 1
Direct
0.000 0.000 0.764
0.500 0.000 0.385
0.000 0.500 0.385
0.000 0.000 0.239
0.500 0.500 0.490
```

Results
Energy above the lowest structure with this stoichiometry (meV per atom): 392
Formation energy without anion corrections (eV/atom): -1.33

# 15
This record from Alexandria via LeMat-Bulk describes a geometry-optimized K3TeF structure. The functional is PBE.

Structure (POSCAR):
```
K3TeF
1.0
24.761 0.000 -2.114
0.000 7.523 0.000
-8.758 0.000 4.339
K Te F
12 4 4
Direct
0.615 0.750 0.615
0.250 0.500 0.750
0.025 0.750 0.525
0.975 0.250 0.475
0.385 0.250 0.385
0.525 0.750 0.025
0.750 0.500 0.250
0.250 0.000 0.750
0.115 0.750 0.115
0.885 0.250 0.885
0.750 0.000 0.250
0.475 0.250 0.975
0.107 0.250 0.107
0.393 0.750 0.393
0.893 0.750 0.893
0.607 0.250 0.607
0.632 0.250 0.132
0.868 0.750 0.368
0.368 0.750 0.868
0.132 0.250 0.632
```

Results
Energy above the lowest structure with this stoichiometry (meV per atom): 76
Formation energy without anion corrections (eV/atom): -1.65

# 16
This record from Alexandria via LeMat-Bulk describes a geometry-optimized KTe2F2 structure. The functional is PBE.

Structure (POSCAR):
```
KTe2F2
1.0
-1.900 -2.142 2.978
-1.424 -2.660 -2.822
4.305 -6.504 0.934
Te K F
2 1 2
Direct
0.750 0.250 0.500
0.250 0.750 0.500
0.000 0.000 0.000
0.603 0.603 0.794
0.397 0.397 0.206
```

Results
Energy above the lowest structure with this stoichiometry (meV per atom): 0
Formation energy without anion corrections (eV/atom): -1.13

# 17
This record from Alexandria via LeMat-Bulk describes a geometry-optimized K2TeF5 structure. The functional is PBE.

Structure (POSCAR):
```
K2TeF5
1.0
6.451 -1.562 1.673
-2.005 7.136 1.206
-1.219 -2.166 2.223
F K Te
5 2 1
Direct
0.725 0.631 0.540
0.634 0.944 0.933
0.000 0.310 0.299
0.313 0.219 0.126
0.144 0.800 0.857
0.333 0.612 0.131
0.660 0.285 0.724
0.969 0.975 0.946
```

Results
Formation energy without anion corrections (eV/atom): -2.38

# 18
This record from Alexandria via LeMat-Bulk describes a geometry-optimized KTeF5 structure. The functional is PBE.

Structure (POSCAR):
```
KTeF5
1.0
-5.917 4.119 0.805
1.918 -3.828 5.856
1.315 4.979 5.109
F K Te
10 2 2
Direct
0.735 0.735 0.000
0.250 0.070 0.680
0.936 0.222 0.842
0.235 0.735 0.500
0.750 0.930 0.320
0.064 0.778 0.158
0.765 0.265 0.500
0.265 0.265 0.000
0.436 0.778 0.785
0.564 0.222 0.215
0.750 0.465 0.785
0.250 0.535 0.215
0.500 0.000 0.500
0.000 0.000 0.000
```

Results
Energy above the lowest structure with this stoichiometry (meV per atom): 113
Formation energy without anion corrections (eV/atom): -2.32

# 19
This record from Alexandria via LeMat-Bulk describes a geometry-optimized K2TeF2 structure. The functional is PBE.

Structure (POSCAR):
```
K2TeF2
1.0
8.732 0.000 0.000
0.000 8.732 0.000
0.000 0.000 3.059
F Te K
4 2 4
Direct
0.124 0.624 0.500
0.624 0.876 0.500
0.876 0.376 0.500
0.376 0.124 0.500
0.000 0.000 0.000
0.500 0.500 0.000
0.125 0.375 0.000
0.875 0.625 0.000
0.625 0.125 0.000
0.375 0.875 0.000
```

Results
Energy above the lowest structure with this stoichiometry (meV per atom): 0
Formation energy without anion corrections (eV/atom): -1.67

# 20
This record from Alexandria via LeMat-Bulk describes a geometry-optimized K3TeF structure. The functional is PBE.

Structure (POSCAR):
```
K3TeF
1.0
4.641 0.000 8.130
-2.320 4.019 8.130
-2.320 -4.019 8.130
F Te K
2 2 6
Direct
0.750 0.750 0.750
0.250 0.250 0.250
0.000 0.000 0.000
0.500 0.500 0.500
0.442 0.750 0.058
0.250 0.942 0.558
0.558 0.250 0.942
0.942 0.558 0.250
0.058 0.442 0.750
0.750 0.058 0.442
```

Results
Energy above the lowest structure with this stoichiometry (meV per atom): 139
Formation energy without anion corrections (eV/atom): -1.59

# 21
This record from Alexandria via LeMat-Bulk describes a geometry-optimized K3TeF structure. The functional is PBE.

Structure (POSCAR):
```
K3TeF
1.0
9.476 0.000 0.561
3.907 7.322 -4.463
-3.907 7.322 4.463
F K Te
4 12 4
Direct
0.746 0.803 0.618
0.754 0.118 0.303
0.254 0.197 0.382
0.246 0.882 0.697
0.477 0.568 0.768
0.238 0.439 0.461
0.010 0.177 0.445
0.523 0.432 0.232
0.023 0.268 0.068
0.490 0.945 0.677
0.738 0.039 0.061
0.262 0.961 0.939
0.762 0.561 0.539
0.510 0.055 0.323
0.977 0.732 0.932
0.990 0.823 0.555
0.750 0.631 0.131
0.750 0.204 0.704
0.250 0.369 0.869
0.250 0.796 0.296
```

Results
Energy above the lowest structure with this stoichiometry (meV per atom): 81
Formation energy without anion corrections (eV/atom): -1.64

# 22
This record from Alexandria via LeMat-Bulk describes a geometry-optimized KTeF4 structure. The functional is PBE.

Structure (POSCAR):
```
KTeF4
1.0
4.902 0.000 0.000
0.000 5.933 0.000
-2.451 0.000 8.629
F Te K
8 2 2
Direct
0.181 0.994 0.362
0.819 0.494 0.638
0.000 0.000 0.000
0.181 0.506 0.362
0.000 0.500 0.000
0.384 0.250 0.769
0.819 0.006 0.638
0.616 0.750 0.231
0.097 0.750 0.194
0.903 0.250 0.806
0.676 0.250 0.353
0.324 0.750 0.647
```

Results
Formation energy without anion corrections (eV/atom): -2.11